(1)
First-principles (GGA-PBE) data for KTa3In after structural relaxation, as listed in the Alexandria database.

Summary:
- ΔE_f: 2.7716 eV per atom
- Space group: Pm-3m

Unit cell a=4.6949 b=4.6949 c=4.6949 alpha=90.00 beta=90.00 gamma=90.00
Closest atoms and distances in Å follow each position.
Fractional positions:
In 0.5000 0.5000 0.5000  12 Ta 3.32
Ta 0.0000 0.5000 0.0000  2 K 2.35
Ta 0.5000 0.0000 0.0000  2 K 2.35
Ta 0.0000 0.0000 0.5000  2 K 2.35
K 0.0000 0.0000 0.0000  6 Ta 2.35

---

(2)
First-principles (GGA-PBE) data for BIr after structural relaxation, as listed in the Alexandria database.

Summary:
- ΔE_f: 0.2621 eV per atom
- Space group: Fm-3m

Unit cell a=4.4526 b=4.4526 c=4.4526 alpha=90.00 beta=90.00 gamma=90.00
Closest atoms and distances in Å follow each position.
Fractional positions:
Ir 0.5000 0.5000 0.5000  6 B 2.23
Ir 0.0000 0.5000 0.0000  6 B 2.23
Ir 0.5000 0.0000 0.0000  6 B 2.23
Ir 0.0000 0.0000 0.5000  6 B 2.23
B 0.5000 0.5000 0.0000  6 Ir 2.23
B 0.0000 0.5000 0.5000  6 Ir 2.23
B 0.0000 0.0000 0.0000  6 Ir 2.23
B 0.5000 0.0000 0.5000  6 Ir 2.23

---

(3)
First-principles (GGA-PBE) data for LiLaAs2Br after structural relaxation, as listed in the Alexandria database.

Summary:
- Formation energy (no corrections): -246.5 meV/atom
- Space group: P4/mmm

Unit cell a=5.7201 b=5.7201 c=5.9012 alpha=90.00 beta=90.00 gamma=90.00
Closest atoms and distances in Å follow each position.
Fractional positions:
As 0.5000 0.0000 0.0000  2 La 2.86
As 0.0000 0.5000 0.0000  2 La 2.86
Br 0.0000 0.0000 0.5000  2 La 2.95
La 0.0000 0.0000 0.0000  4 As 2.86, 2 Br 2.95
Li 0.5000 0.5000 0.5000  4 Br 4.04, 8 As 4.11

---

(4)
First-principles (GGA-PBE) data for RbZr2GeC after structural relaxation, as listed in the Alexandria database.

Summary:
- ΔE_f: 3.3017 eV per atom
- Space group: P4/mmm

Unit cell a=5.0483 b=5.2272 c=5.0483 alpha=90.00 beta=90.00 gamma=90.00
Closest atoms and distances in Å follow each position.
Fractional positions:
Zr 0.0000 0.0000 0.5000  2 Rb 2.52
Zr 0.5000 0.0000 0.0000  2 Rb 2.52
C 0.5000 0.5000 0.5000  4 Ge 3.57, 8 Zr 3.63
Rb 0.0000 0.0000 0.0000  4 Zr 2.52, 2 Ge 2.61
Ge 0.0000 0.5000 0.0000  2 Rb 2.61